The following is a DFT calculation (PBE) of crystalline PmNd2Tm2Sc2 at its relaxed geometry.

a b c (Å): 8.832 8.832 8.374
angles (deg): 116.78 116.78 22.13
Fractional coordinates of all 7 atoms:
Pm  0.000  0.000  0.000
Nd  0.428  0.428  0.587
Nd  0.572  0.572  0.413
Tm  0.213  0.213  0.291
Tm  0.787  0.787  0.709
Sc  0.346  0.346  0.102
Sc  0.654  0.654  0.898

Properties
* calculated total energy: -4.9477 eV/atom
* formation energy from the elements: 1.259 eV per formula unit